(1)
VASP calculation (PBE) on a geometry-optimized V3InBi structure.

Unit cell a=5.0156 b=5.0156 c=5.0156 alpha=90.00 beta=90.00 gamma=90.00
Element x y z (fractional)
1 V 0.0000 0.0000 0.5000
2 V 0.0000 0.5000 0.0000
3 V 0.5000 0.0000 0.0000
4 In 0.0000 0.0000 0.0000
5 Bi 0.5000 0.5000 0.5000

Properties
Formation enthalpy at 0 K, eV/atom: 1.368
Energy relative to the lowest polymorph listed for this composition, eV/f.u.: 0.000
Space group: No. 221

---

(2)
VASP calculation (PBE) on a geometry-optimized VIn2Bi structure.

Unit cell a=6.6777 b=6.6777 c=6.6777 alpha=100.92 beta=100.92 gamma=128.41
Element x y z (fractional)
1 V 0.0000 0.0000 0.0000
2 V 0.7500 0.2500 0.5000
3 In 0.0944 0.6250 0.9694
4 In 0.3750 0.3444 0.4694
5 In 0.6556 0.1250 0.0306
6 In 0.8750 0.9056 0.5306
7 Bi 0.2500 0.7500 0.5000
8 Bi 0.5000 0.5000 0.0000

Properties
Formation enthalpy at 0 K, eV/atom: 0.457
Space group: No. 122

---

(3)
VASP calculation (PBE) on a geometry-optimized VInBi2 structure.

Unit cell a=12.0057 b=12.0057 c=12.0057 alpha=16.08 beta=16.08 gamma=16.08
Element x y z (fractional)
1 V 0.0000 0.0000 0.0000
2 In 0.5000 0.5000 0.5000
3 Bi 0.0795 0.0795 0.0795
4 Bi 0.9205 0.9205 0.9205

Properties
Formation enthalpy at 0 K, eV/atom: 0.573
Space group: No. 166

---

(4)
VASP calculation (PBE) on a geometry-optimized YV2InBi structure.

Unit cell a=4.9886 b=4.9886 c=5.6464 alpha=90.00 beta=90.00 gamma=90.00
Element x y z (fractional)
1 Y 0.0000 0.0000 0.0000
2 V 0.0000 0.5000 0.0000
3 V 0.5000 0.0000 0.0000
4 In 0.0000 0.0000 0.5000
5 Bi 0.5000 0.5000 0.5000

Properties
Formation enthalpy at 0 K, eV/atom: 1.502
Space group: No. 123

---

(5)
VASP calculation (PBE) on a geometry-optimized Y2VInBi structure.

Unit cell a=5.7689 b=5.7689 c=5.6377 alpha=90.00 beta=90.00 gamma=90.00
Element x y z (fractional)
1 Y 0.0000 0.5000 0.0000
2 Y 0.5000 0.0000 0.0000
3 V 0.0000 0.0000 0.5000
4 In 0.5000 0.5000 0.5000
5 Bi 0.5000 0.5000 0.0000

Properties
Formation enthalpy at 0 K, eV/atom: 0.892
Space group: No. 123

---

(6)
VASP calculation (PBE) on a geometry-optimized In3BiW structure.

Unit cell a=5.3449 b=5.3449 c=5.3449 alpha=90.00 beta=90.00 gamma=90.00
Element x y z (fractional)
1 In 0.0000 0.0000 0.5000
2 In 0.0000 0.5000 0.0000
3 In 0.5000 0.0000 0.0000
4 Bi 0.5000 0.5000 0.5000
5 W 0.0000 0.0000 0.0000

Properties
Formation enthalpy at 0 K, eV/atom: 0.839
Energy relative to the lowest polymorph listed for this composition, eV/f.u.: 0.000
Space group: No. 221

---

(7)
VASP calculation (PBE) on a geometry-optimized InBiW2 structure.

Unit cell a=10.5215 b=10.5215 c=10.5215 alpha=156.92 beta=156.92 gamma=32.86
Element x y z (fractional)
1 In 0.0000 0.0000 0.0000
2 In 0.7500 0.2500 0.5000
3 Bi 0.2500 0.7500 0.5000
4 Bi 0.5000 0.5000 0.0000
5 W 0.0577 0.6250 0.9327
6 W 0.3750 0.3077 0.4327
7 W 0.6923 0.1250 0.0673
8 W 0.8750 0.9423 0.5673

Properties
Formation enthalpy at 0 K, eV/atom: 1.084
Energy relative to the lowest polymorph listed for this composition, eV/f.u.: 0.000
Space group: No. 122

---

(8)
VASP calculation (PBE) on a geometry-optimized InBiW2 structure.

Unit cell a=4.7856 b=4.7856 c=4.7856 alpha=60.00 beta=60.00 gamma=60.00
Element x y z (fractional)
1 In 0.0000 0.0000 0.0000
2 Bi 0.5000 0.5000 0.5000
3 W 0.2500 0.2500 0.2500
4 W 0.7500 0.7500 0.7500

Properties
Formation enthalpy at 0 K, eV/atom: 1.119
Energy relative to the lowest polymorph listed for this composition, eV/f.u.: 0.137
Space group: No. 225